Record 1
This record from Alexandria via LeMat-Bulk describes a relaxed structure of PrPd6Au4. The functional is PBE.

Values from the calculation:
The calculated volume comes out at 20.24 A^3/atom. For the density of states at the Fermi level, the calculation gives 12.9 states/eV/cell. For the total energy, the calculation gives -100.0 eV per cell. Its crystal system is tetragonal.

Geometry as CIF:
```
data_PrPd6Au4
_chemical_formula_sum 'Pr2 Pd12 Au8'
_cell_length_a 6.5361
_cell_length_b 6.5361
_cell_length_c 10.4217
_cell_angle_alpha 90.00
_cell_angle_beta 90.00
_cell_angle_gamma 90.00
_symmetry_space_group_name_H-M 'I -4 2 m'
_symmetry_Int_Tables_number 121
_symmetry_space_group_name_Hall 'I -4 2'
loop_
_atom_site_label
_atom_site_fract_x
_atom_site_fract_y
_atom_site_fract_z
_atom_site_occupancy
Pr1 0.0000 0.0000 0.0000 1
Pd1 0.0000 0.5000 0.0000 1
Pd2 0.1584 0.1584 0.5921 1
Au1 0.2340 0.2340 0.3252 1
```

=====

Record 2
This record from Alexandria via LeMat-Bulk describes a relaxed structure of CrAgRu2. The functional is PBE.

Values from the calculation:
The calculated volume comes out at 14.21 A^3/atom. For the density of states at the Fermi level, the calculation gives 10.7 states/eV/cell. For the total energy, the calculation gives -57.9 eV per cell. Its crystal system is tetragonal.

Geometry as CIF:
```
data_CrAgRu2
_chemical_formula_sum 'Cr2 Ag2 Ru4'
_cell_length_a 3.8899
_cell_length_b 3.8899
_cell_length_c 7.5145
_cell_angle_alpha 90.00
_cell_angle_beta 90.00
_cell_angle_gamma 90.00
_symmetry_space_group_name_H-M 'I 4/m m m'
_symmetry_Int_Tables_number 139
_symmetry_space_group_name_Hall '-I 4 2'
loop_
_atom_site_label
_atom_site_fract_x
_atom_site_fract_y
_atom_site_fract_z
_atom_site_occupancy
Cr1 0.0000 0.0000 0.0000 1
Ag1 0.0000 0.0000 0.5000 1
Ru1 0.0000 0.5000 0.2500 1
```

=====

Q: Number 1 is which compound?
A: PrPd6Au4

=====

Q: Among the records above, which one has the lowest calculated volume?
A: CrAgRu2

=====

Q: What is the formula in the second record?
A: CrAgRu2

=====

Q: calculated volume of number 1 (PrPd6Au4)?
A: 20.24 A^3/atom